Entry from Alexandria: a geometry-optimized AcTmPu structure (PBE).

Lattice parameters (Å, degrees): 3.6930 3.6930 7.8977 103.52 103.52 90.00
Site moments in Bohr magnetons follow the coordinates.
Sites, in units of the cell vectors:
Tm  0.6753  0.6753  0.3506  0.07
Pu  0.3257  0.3257  0.6514  5.65
Ac  0.9990  0.9990  0.9980  0.01

Output
ρ: 10.45 g/cm³
final energy: -22.36 eV per cell
formation energy: 0.1832 eV per atom
energy relative to the lowest polymorph listed for this composition: 0.0 meV per atom
magnetic moment: 6.23 Bohr magnetons per cell
symmetry: I4mm, No. 107